MnAlPt2: optimized geometry, PBE-GGA.

Calculated values
Calculated total energy: -27.79 eV per formula unit
Volume: 14.87 Å³/atom
Size of the total moment: 4.1 μB per formula unit
Crystal system: cubic
E_form: -0.699 eV per atom

CIF file:
```
data_MnAlPt2
_chemical_formula_sum 'Mn4 Al4 Pt8'
_symmetry_space_group_name_H-M 'F m -3 m'
_symmetry_Int_Tables_number 225
_symmetry_space_group_name_Hall '-F 4 2 3'
_cell_length_a 6.1959
_cell_length_b 6.1959
_cell_length_c 6.1959
_cell_angle_alpha 90.00
_cell_angle_beta 90.00
_cell_angle_gamma 90.00
loop_
_atom_site_label
_atom_site_type_symbol
_atom_site_fract_x
_atom_site_fract_y
_atom_site_fract_z
Mn1 Mn 0.0000 0.0000 0.0000
Al1 Al 0.0000 0.0000 0.5000
Pt1 Pt 0.2500 0.2500 0.2500
```